# 1
Computed, not measured: a crystal of BeGaRh2 relaxed with PBEsol at the meta-GGA SCAN level of DFT.

abc: 4.0771 4.0771 4.0771
angles: 60.00 60.00 60.00
Closest atoms and distances in Å follow each position.
Sites, in units of the cell vectors:
Be 0.0000 0.0000 0.0000  8 Rh 2.50
Ga 0.5000 0.5000 0.5000  8 Rh 2.50
Rh 0.2500 0.2500 0.2500  4 Be 2.50, 4 Ga 2.50
Rh 0.7500 0.7500 0.7500  4 Be 2.50, 4 Ga 2.50

Properties
Electronic total energy: -91.37 eV for the cell shown
Magnetization: 0.000 μB/f.u.
DFT formation energy: -0.781 eV per atom
SG: Fm-3m (225)

=====

# 2
Computed, not measured: a crystal of Be2GaRu2 relaxed with PBEsol at the meta-GGA SCAN level of DFT.

abc: 6.0136 6.0136 3.0000
angles: 90.00 90.00 90.00
Closest atoms and distances in Å follow each position.
Sites, in units of the cell vectors:
Be 0.1213 0.3787 0.0000  1 Be 2.06, 2 Ru 2.30
Be 0.3787 0.8787 0.0000  1 Be 2.06, 2 Ru 2.30
Be 0.6213 0.1213 0.0000  1 Be 2.06, 2 Ru 2.30
Be 0.8787 0.6213 0.0000  1 Be 2.06, 2 Ru 2.30
Ga 0.0000 0.0000 0.0000  4 Be 2.39
Ga 0.5000 0.5000 0.0000  4 Be 2.39
Ru 0.1737 0.6737 0.5000  6 Be 2.30-2.34
Ru 0.3263 0.1737 0.5000  6 Be 2.30-2.34
Ru 0.6737 0.8263 0.5000  6 Be 2.30-2.34
Ru 0.8263 0.3263 0.5000  6 Be 2.30-2.34

Properties
Electronic total energy: -194.69 eV for the cell shown
Magnetization: 0.000 μB/f.u.
DFT formation energy: -0.528 eV per atom
SG: P4/mbm (127)